# 1
The following is a DFT calculation (PBE) of a geometry-optimized Pm10Sn3Sb3 structure.

a = 9.254 Å, b = 9.254 Å, c = 6.615 Å
α = 90.00°, β = 90.00°, γ = 120.00°
Atoms (fractional coordinates):
Pm  0.000  0.244  0.000
Pm  0.000  0.756  0.500
Pm  0.244  0.000  0.000
Pm  0.244  0.244  0.500
Pm  0.333  0.667  0.249
Pm  0.333  0.667  0.751
Pm  0.667  0.333  0.249
Pm  0.667  0.333  0.751
Pm  0.756  0.000  0.500
Pm  0.756  0.756  0.000
Sn  0.000  0.392  0.500
Sn  0.392  0.000  0.500
Sn  0.608  0.608  0.500
Sb  0.000  0.610  0.000
Sb  0.390  0.390  0.000
Sb  0.610  0.000  0.000

Results
* raw formation energy: -0.84 eV per atom
* space group: No. 189
* uncorrected energy: -85.3 eV for the cell shown
* Fermi-level density of states: 14.798 states/eV per cell


# 2
The following is a DFT calculation (PBE) of a geometry-optimized NaCaInAg structure.

a = 5.144 Å, b = 5.144 Å, c = 5.144 Å
α = 60.00°, β = 60.00°, γ = 60.00°
Atoms (fractional coordinates):
Na  0.000  0.000  0.000
Ca  0.750  0.750  0.750
In  0.250  0.250  0.250
Ag  0.500  0.500  0.500

Results
* space group: No. 216
* formation energy from the elements: -0.208 eV/atom
* uncorrected energy: -9.7 eV for the cell shown
* Fermi-level density of states: 2.063 states/eV per cell


# 3
The following is a DFT calculation (PBE) of a geometry-optimized Hf5Bi4 structure.

a = 8.051 Å, b = 8.051 Å, c = 8.051 Å
α = 93.29°, β = 93.29°, γ = 152.28°
Atoms (fractional coordinates):
Hf  0.000  0.000  0.000
Hf  0.314  0.628  0.942
Hf  0.372  0.314  0.686
Hf  0.628  0.686  0.314
Hf  0.686  0.372  0.058
Bi  0.052  0.708  0.760
Bi  0.292  0.052  0.344
Bi  0.708  0.948  0.656
Bi  0.948  0.292  0.240

Results
* space group: No. 87
* formation energy from the elements: -0.154 eV/atom
* uncorrected energy: -66.7 eV for the cell shown
* Fermi-level density of states: 10.519 states/eV per cell


# 4
The following is a DFT calculation (PBE) of a geometry-optimized UTcSnPd structure.

a = 4.771 Å, b = 4.771 Å, c = 4.771 Å
α = 60.00°, β = 60.00°, γ = 60.00°
Atoms (fractional coordinates):
U  0.000  0.000  0.000
Tc  0.250  0.250  0.250
Sn  0.500  0.500  0.500
Pd  0.750  0.750  0.750

Results
* space group: No. 216
* formation energy from the elements: -0.122 eV/atom
* uncorrected energy: -31.3 eV for the cell shown
* Fermi-level density of states: 7.159 states/eV per cell


# 5
The following is a DFT calculation (PBE) of a geometry-optimized Pm3Si2I3 structure.

a = 9.326 Å, b = 9.326 Å, c = 5.974 Å
α = 90.00°, β = 90.00°, γ = 120.00°
Atoms (fractional coordinates):
Pm  0.000  0.396  0.250
Pm  0.000  0.604  0.750
Pm  0.396  0.000  0.250
Pm  0.396  0.396  0.750
Pm  0.604  0.000  0.750
Pm  0.604  0.604  0.250
Si  0.333  0.667  0.000
Si  0.333  0.667  0.500
Si  0.667  0.333  0.000
Si  0.667  0.333  0.500
I  0.000  0.252  0.750
I  0.000  0.748  0.250
I  0.252  0.000  0.750
I  0.252  0.252  0.250
I  0.748  0.000  0.250
I  0.748  0.748  0.750

Results
* raw formation energy: -0.84 eV per atom
* space group: No. 193
* uncorrected energy: -73.0 eV for the cell shown


# 6
The following is a DFT calculation (PBE) of a geometry-optimized CrFe2Ru structure.

a = 4.418 Å, b = 4.418 Å, c = 4.473 Å
α = 99.37°, β = 99.37°, γ = 33.91°
Atoms (fractional coordinates):
Cr  0.000  0.000  0.000
Fe  0.255  0.255  0.767
Fe  0.505  0.505  0.522
Ru  0.753  0.753  0.269

Results
* space group: No. 8
* formation energy from the elements: 0.141 eV/atom
* uncorrected energy: -35.3 eV for the cell shown
* Fermi-level density of states: 5.120 states/eV per cell


# 7
The following is a DFT calculation (PBE) of a geometry-optimized Cd2NiBr structure.

a = 6.834 Å, b = 6.834 Å, c = 6.834 Å
α = 97.04°, β = 97.04°, γ = 139.02°
Atoms (fractional coordinates):
Cd  0.022  0.125  0.397
Cd  0.375  0.978  0.103
Cd  0.728  0.625  0.603
Cd  0.875  0.272  0.897
Ni  0.000  0.000  0.000
Ni  0.750  0.250  0.500
Br  0.250  0.750  0.500
Br  0.500  0.500  0.000

Results
* relative energy among the computed polymorphs: 0.161 eV/atom
* raw formation energy: 0.14 eV per atom
* space group: No. 122
* uncorrected energy: -17.5 eV for the cell shown
* Fermi-level density of states: 6.251 states/eV per cell


# 8
The following is a DFT calculation (PBE) of a geometry-optimized NaTl2Rh3F12 structure.

a = 7.505 Å, b = 7.505 Å, c = 7.505 Å
α = 59.87°, β = 59.87°, γ = 59.87°
Atoms (fractional coordinates):
Na  0.000  0.000  0.000
Tl  0.366  0.366  0.366
Tl  0.634  0.634  0.634
Rh  0.000  0.000  0.500
Rh  0.000  0.500  0.000
Rh  0.500  0.000  0.000
F  0.116  0.116  0.593
F  0.116  0.593  0.116
F  0.120  0.709  0.709
F  0.291  0.291  0.880
F  0.291  0.880  0.291
F  0.407  0.884  0.884
F  0.593  0.116  0.116
F  0.709  0.120  0.709
F  0.709  0.709  0.120
F  0.880  0.291  0.291
F  0.884  0.407  0.884
F  0.884  0.884  0.407

Results
* raw formation energy: -1.76 eV per atom
* space group: No. 166
* uncorrected energy: -82.2 eV for the cell shown


# 9
The following is a DFT calculation (PBE) of a geometry-optimized NpAu2O8 structure.

a = 5.864 Å, b = 5.864 Å, c = 6.849 Å
α = 125.50°, β = 125.50°, γ = 64.64°
Atoms (fractional coordinates):
Np  0.000  0.000  0.000
Au  0.245  0.755  0.500
Au  0.755  0.245  0.500
O  0.180  0.180  0.677
O  0.224  0.772  0.193
O  0.228  0.776  0.807
O  0.315  0.315  0.318
O  0.685  0.685  0.682
O  0.772  0.224  0.193
O  0.776  0.228  0.807
O  0.820  0.820  0.323

Results
* raw formation energy: -0.74 eV per atom
* space group: No. 12
* uncorrected energy: -67.3 eV for the cell shown
* Fermi-level density of states: 5.117 states/eV per cell


# 10
The following is a DFT calculation (PBE) of a geometry-optimized KLi2Te structure.

a = 5.495 Å, b = 5.495 Å, c = 5.495 Å
α = 60.00°, β = 60.00°, γ = 60.00°
Atoms (fractional coordinates):
K  0.000  0.000  0.000
Li  0.500  0.500  0.500
Li  0.750  0.750  0.750
Te  0.250  0.250  0.250

Results
* raw formation energy: -0.38 eV per atom
* space group: No. 216
* uncorrected energy: -9.6 eV for the cell shown
* Fermi-level density of states: 2.333 states/eV per cell


# 11
The following is a DFT calculation (PBE) of a geometry-optimized NaGa3Au structure.

a = 4.178 Å, b = 4.178 Å, c = 6.569 Å
α = 108.21°, β = 108.21°, γ = 90.40°
Atoms (fractional coordinates):
Na  0.000  0.000  0.000
Ga  0.258  0.759  0.516
Ga  0.617  0.617  0.233
Ga  0.759  0.258  0.516
Au  0.400  0.400  0.802

Results
* relative energy among the computed polymorphs: 0.000 eV/atom
* space group: No. 8
* formation energy from the elements: -0.235 eV/atom
* uncorrected energy: -14.9 eV for the cell shown
* Fermi-level density of states: 1.119 states/eV per cell


# 12
The following is a DFT calculation (PBE) of a geometry-optimized SrCu2P2S7 structure.

a = 10.331 Å, b = 10.331 Å, c = 10.331 Å
α = 35.42°, β = 35.42°, γ = 35.42°
Atoms (fractional coordinates):
Sr  0.000  0.000  0.000
Cu  0.254  0.254  0.254
Cu  0.746  0.746  0.746
P  0.426  0.426  0.426
P  0.574  0.574  0.574
S  0.098  0.397  0.727
S  0.273  0.603  0.902
S  0.397  0.727  0.098
S  0.500  0.500  0.500
S  0.603  0.902  0.273
S  0.727  0.098  0.397
S  0.902  0.273  0.603

Results
* raw formation energy: -0.41 eV per atom
* space group: No. 155
* uncorrected energy: -54.5 eV for the cell shown
* Fermi-level density of states: 0.946 states/eV per cell